Li4CuP2O8 | PBEsol | relaxed

Summary:
Volume ... 316 Å³ per cell
Density of states at the Fermi level ... 0.126 states/eV per atom
Excess energy over the best structure of this formula in the dataset ... 23 meV/atom
Energy relative to the elements, uncorrected ... -2.099 eV/atom

Unit cell a=5.1757 b=6.3921 c=9.5487 alpha=91.49 beta=90.34 gamma=90.45
Last column: nearest neighbours and their distance in Å.
Space group P1 (No. 1)
Asymmetric unit:
Li1 0.0000 0.0000 0.0000 x1  4 O 1.90-2.09
Li2 0.9999 0.0289 0.5025 x1  4 O 1.87-1.96
Li3 0.3418 0.9962 0.2554 x1  4 O 1.91-1.98
Li4 0.3561 0.5187 0.2418 x1  4 O 1.87-1.99
Li5 0.3620 0.0082 0.7382 x1  4 O 1.94-2.03
Li6 0.8250 0.2526 0.2459 x1  4 O 1.96-2.13
Li7 0.8538 0.2623 0.7559 x1  3 O 1.97-1.99
Li8 0.9776 0.5124 0.0121 x1  4 O 1.87-2.05
Cu1 0.0228 0.5464 0.4740 x1  3 O 1.88-1.97
Cu2 0.3998 0.5403 0.7789 x1  3 O 1.86-2.00
P1 0.4853 0.2410 0.0040 x1  4 O 1.52-1.58
P2 0.5011 0.2689 0.5038 x1  4 O 1.52-1.58
P3 0.8288 0.7713 0.2604 x1  4 O 1.52-1.58
P4 0.8684 0.7720 0.7495 x1  4 O 1.52-1.60
O1 0.0158 0.5778 0.6795 x1  1 P 1.60
O2 0.3267 0.4373 0.9554 x1  1 P 1.58
O3 0.3528 0.0473 0.9402 x1  1 P 1.52
O4 0.3539 0.0715 0.4579 x1  1 P 1.52
O5 0.3701 0.4652 0.4457 x1  1 P 1.55
O6 0.4751 0.2497 0.1663 x1  1 P 1.55
O7 0.5054 0.2836 0.6694 x1  1 P 1.58
O8 0.5515 0.7600 0.2085 x1  1 P 1.52
O9 0.5806 0.7648 0.7007 x1  1 P 1.56
O10 0.7725 0.2606 0.9576 x1  1 P 1.56
O11 0.7865 0.2676 0.4524 x1  1 P 1.56
O12 0.8421 0.7885 0.4243 x1  1 P 1.57
O13 0.8984 0.7468 0.9067 x1  1 P 1.52
O14 0.9749 0.9636 0.2031 x1  1 P 1.55
O15 0.9759 0.5603 0.2248 x1  1 P 1.58
O16 0.9870 0.9807 0.7015 x1  1 P 1.55

Li4Ti2Mn3Fe3O16 | PBEsol | relaxed

Summary:
Volume ... 511 Å³ per cell
Density of states at the Fermi level ... 0.363 states/eV per atom
Energy relative to the elements, uncorrected ... -1.975 eV/atom

Unit cell a=9.7425 b=5.6251 c=9.3302 alpha=90.00 beta=90.07 gamma=90.00
Last column: nearest neighbours and their distance in Å.
Space group Cm (No. 8)
Asymmetric unit:
Li1 0.0000 0.0000 0.0000 x2  4 O 1.76-1.90
Li2 0.0027 0.0000 0.4967 x2  4 O 1.76-1.88
Li3 0.1717 0.5000 0.0995 x2  4 O 1.87-1.95
Li4 0.3381 0.0000 0.5991 x2  4 O 1.88-1.93
Ti1 0.1744 0.5000 0.4980 x2  5 O 1.89-2.06
Ti2 0.3405 0.0000 0.0019 x2  6 O 1.91-2.06
Mn1 0.0902 0.2555 0.7789 x4  6 O 1.88-1.97
Mn2 0.1760 0.0000 0.2782 x2  6 O 1.88-1.97
Fe1 0.3296 0.5000 0.7794 x2  6 O 1.89-1.96
Fe2 0.4184 0.2375 0.2799 x4  6 O 1.88-1.97
O1 0.0020 0.0000 0.6855 x2  1 Li 1.76, 2 Mn 1.89, 1 Fe 1.90
O2 0.0025 0.0000 0.1881 x2  1 Li 1.76, 1 Mn 1.89, 2 Fe 1.89
O3 0.0222 0.5000 0.6594 x2  1 Li 1.88, 2 Mn 1.89
O4 0.0870 0.2490 0.3945 x4  1 Li 1.88, 1 Ti 1.91, 1 Fe 1.96, 1 Mn 1.97
O5 0.1680 0.0000 0.8961 x2  1 Li 1.90, 1 Ti 1.95, 2 Mn 1.96
O6 0.1679 0.5000 0.8903 x2  2 Mn 1.88, 1 Fe 1.89, 1 Li 1.95
O7 0.2432 0.2750 0.6569 x4  1 Mn 1.88, 1 Li 1.88, 1 Fe 1.90, 1 Ti 2.06
O8 0.2619 0.2219 0.1573 x4  1 Li 1.87, 1 Mn 1.88, 1 Fe 1.91, 1 Ti 2.06
O9 0.3358 0.0000 0.3919 x2  2 Fe 1.88, 1 Mn 1.88, 1 Li 1.93
O10 0.3388 0.5000 0.3914 x2  1 Li 1.87, 1 Ti 1.89, 2 Fe 1.97
O11 0.4203 0.2520 0.8934 x4  1 Li 1.88, 1 Ti 1.91, 1 Fe 1.96, 1 Mn 1.97
O12 0.4864 0.0000 0.1566 x2  1 Li 1.88, 2 Fe 1.88, 1 Ti 2.02

FeTeBr2 | PBEsol | relaxed

Summary:
Volume ... 90 Å³ per cell
Density of states at the Fermi level ... 1.153 states/eV per atom
Energy relative to the elements, uncorrected ... 0.687 eV/atom

Unit cell a=5.1712 b=5.1712 c=3.3630 alpha=90.00 beta=90.00 gamma=90.00
Last column: nearest neighbours and their distance in Å.
Space group P4/mmm (No. 123)
Asymmetric unit:
Fe1 0.0000 0.0000 0.0000 x1  8 Br 3.08, 2 Fe 3.36
Te1 0.5000 0.5000 0.0000 x1  8 Br 3.08, 2 Te 3.36
Br1 0.0000 0.5000 0.5000 x2  4 Fe 3.08, 4 Te 3.08, 2 Br 3.36

MoAs3Pd | PBEsol | relaxed

Summary:
Volume ... 109 Å³ per cell
Energy of formation ... 0.636 eV per atom
Density of states at the Fermi level ... 0.611 states/eV per atom
Excess energy over the best structure of this formula in the dataset ... 0 meV/atom

Unit cell a=4.7698 b=4.7698 c=4.7698 alpha=90.00 beta=90.00 gamma=90.00
Last column: nearest neighbours and their distance in Å.
Space group Pm-3m (No. 221)
Asymmetric unit:
Mo1 0.0000 0.0000 0.0000 x1  6 As 2.38
As1 0.0000 0.0000 0.5000 x3  2 Mo 2.38
Pd1 0.5000 0.5000 0.5000 x1  12 As 3.37